Crystalline MgBeAu at its relaxed geometry, computed with GGA-PBEsol.

```
MgBeAu
1.0
-2.106 -0.672 2.241
2.325 -0.272 2.104
-0.475 4.853 -1.202
Be Mg Au
1 1 1
direct
0.638 0.638 0.275
0.333 0.333 0.667
0.029 0.029 0.058
```

Properties
For the magnetic moment, the calculation gives 0.00 μB per atom. The formation energy is -0.213 eV per atom. The space group is I4mm, No. 107.

=====

Crystalline MgBe2Au2 at its relaxed geometry, computed with GGA-PBEsol.

```
MgBe2Au2
1.0
2.859 0.000 0.000
0.000 6.873 0.000
0.000 0.000 6.873
Be Mg Au
4 2 4
direct
0.000 0.381 0.881
0.000 0.881 0.619
0.000 0.619 0.119
0.000 0.119 0.381
0.000 0.000 0.000
0.000 0.500 0.500
0.500 0.174 0.674
0.500 0.674 0.826
0.500 0.826 0.326
0.500 0.326 0.174
```

Properties
For the magnetic moment, the calculation gives 0.00 μB per atom. The formation energy is -0.295 eV per atom. The space group is P4/mbm, No. 127.

=====

Crystalline MgBe2AuO at its relaxed geometry, computed with GGA-PBEsol.

```
MgBe2AuO
1.0
3.490 0.000 0.000
0.000 3.490 0.000
0.000 0.000 5.700
Be Mg Au O
2 1 1 1
direct
0.000 0.500 0.000
0.500 0.000 0.000
0.500 0.500 0.500
0.000 0.000 0.500
0.000 0.000 0.000
```

Properties
For the magnetic moment, the calculation gives 0.00 μB per atom. The uncorrected formation energy comes out at -1.805 eV per formula unit. The space group is P4/mmm, No. 123.

=====

Crystalline Mn2BeAu at its relaxed geometry, computed with GGA-PBEsol.

```
Mn2BeAu
1.0
-0.015 -3.317 -1.400
3.165 -0.692 1.606
-3.443 0.696 3.015
Be Mn Au
1 2 1
direct
0.000 0.500 0.000
0.750 0.750 0.499
0.250 0.250 0.501
0.500 0.000 0.000
```

Properties
For the magnetic moment, the calculation gives 1.43 μB per atom. The formation energy is 0.209 eV per atom. The space group is Immm, No. 71.

=====

Crystalline MnBeAu at its relaxed geometry, computed with GGA-PBEsol.

```
MnBeAu
1.0
2.774 0.000 0.000
-1.387 2.403 0.000
0.000 0.000 5.926
Be Mn Au
1 1 1
direct
0.333 0.667 0.659
0.667 0.333 0.363
0.000 0.000 0.978
```

Properties
For the magnetic moment, the calculation gives 1.04 μB per atom. The formation energy is 0.263 eV per atom. The space group is P3m1, No. 156.

=====

Crystalline Mn2BeAu at its relaxed geometry, computed with GGA-PBEsol.

```
Mn2BeAu
1.0
-1.234 2.751 2.253
-2.674 -2.293 1.336
4.109 -1.296 0.689
Be Mn Au
1 2 1
direct
0.750 0.250 0.500
0.000 0.000 0.000
0.250 0.750 0.500
0.500 0.500 0.000
```

Properties
For the magnetic moment, the calculation gives 0.24 μB per atom. The formation energy is 0.085 eV per atom. The space group is I-4m2, No. 119.

=====

Crystalline Mn2BeAu at its relaxed geometry, computed with GGA-PBEsol.

```
Mn2BeAu
1.0
-1.012 2.097 1.385
0.150 -1.440 2.289
6.273 2.329 1.055
Be Mn Au
1 2 1
direct
0.500 0.500 0.500
0.000 0.000 0.704
0.000 0.000 0.296
0.500 0.500 0.000
```

Properties
For the magnetic moment, the calculation gives 1.53 μB per atom. The formation energy is 0.162 eV per atom. The space group is P4/mmm, No. 123.

=====

Crystalline BeMo2Au at its relaxed geometry, computed with GGA-PBEsol.

```
BeMo2Au
1.0
3.139 0.000 0.000
0.000 3.139 0.000
0.000 0.000 5.819
Be Mo Au
1 2 1
direct
0.500 0.500 0.759
0.000 0.000 0.992
0.500 0.500 0.217
0.000 0.000 0.532
```

Properties
For the magnetic moment, the calculation gives 0.00 μB per atom. The formation energy is 0.124 eV per atom. The space group is P4mm, No. 99.

=====

So what do the calculations give for E_tot? Going down the list: -3.43; -3.81; -4.14; -6.65; -5.63; -6.78; -6.70; -7.74 eV per atom.